Entry from Alexandria via LeMat-Bulk: a crystal of As2PtBr relaxed with PBEsol (SCAN).

The structure in extended XYZ format:
```
4
Lattice="2.972 0.000 0.000 0.000 2.972 0.000 0.000 0.000 9.534" Properties=species:S:1:pos:R:3 pbc="T T T"
As 0.000 0.000 1.664
As 0.000 0.000 7.870
Pt 1.486 1.486 0.000
Br 1.486 1.486 4.767
```

Values from the calculation:
- total magnetization (μB/cell) = 0.00
- symmetry = P4/mmm, No. 123
- energy above the most stable polymorph in this dataset (eV/atom) = 0.302
- density of states at the Fermi level (states/eV per cell) = 1.3

---

Entry from Alexandria via LeMat-Bulk: a crystal of As2PtBr relaxed with PBEsol (SCAN).

The structure in extended XYZ format:
```
4
Lattice="1.910 1.103 6.713 -1.910 1.103 6.713 0.000 -2.205 6.713" Properties=species:S:1:pos:R:3 pbc="T T T"
As 0.000 0.000 4.539
As 0.000 0.000 15.601
Pt 0.000 0.000 10.070
Br 0.000 0.000 0.000
```

Values from the calculation:
- total magnetization (μB/cell) = 0.00
- symmetry = R-3m, No. 166
- energy above the most stable polymorph in this dataset (eV/atom) = 0.000
- density of states at the Fermi level (states/eV per cell) = 2.2